Record 1
LiTl2Ga3F12 (PBE-GGA, relaxed); size of the total moment = 0.00 μB per cell; crystal system = trigonal; electronic total energy = -4.642 eV per atom; DOS(E_F) = 0.0 states/eV/cell
1.0
7.229 -0.049 -0.035
3.527 6.310 -0.035
3.527 2.053 5.967
F Tl Ga Li
12 2 3 1
Direct
0.070 0.686 0.686 F
0.660 0.076 0.076 F
0.076 0.076 0.660 F
0.686 0.686 0.070 F
0.686 0.070 0.686 F
0.314 0.314 0.930 F
0.924 0.340 0.924 F
0.340 0.924 0.924 F
0.924 0.924 0.340 F
0.930 0.314 0.314 F
0.076 0.660 0.076 F
0.314 0.930 0.314 F
0.645 0.645 0.645 Tl
0.355 0.355 0.355 Tl
0.000 0.000 0.500 Ga
0.500 0.000 0.000 Ga
0.000 0.500 0.000 Ga
0.000 0.000 0.000 Li

---

Record 2
CsLiSnCl4 (PBE-GGA, relaxed); size of the total moment = 0.00 μB per cell; crystal system = monoclinic; electronic total energy = -3.544 eV per atom; DOS(E_F) = 0.0 states/eV/cell
1.0
7.346 0.000 -0.139
0.000 7.193 0.000
-3.093 0.000 8.896
Cl Sn Cs Li
8 2 2 2
Direct
0.518 0.250 0.423 Cl
0.960 0.504 0.700 Cl
0.421 0.750 0.158 Cl
0.482 0.750 0.577 Cl
0.960 0.996 0.700 Cl
0.040 0.004 0.300 Cl
0.579 0.250 0.842 Cl
0.040 0.496 0.300 Cl
0.781 0.750 0.487 Sn
0.219 0.250 0.513 Sn
0.270 0.250 0.042 Cs
0.730 0.750 0.958 Cs
0.258 0.750 0.326 Li
0.742 0.250 0.674 Li